Entry 1:
Entry from Alexandria via LeMat-Bulk: crystalline CdFeCu2 at its relaxed geometry (PBE).

Cell: 5.7544 7.1559 2.7727 Å, 90.00 90.21 90.00°
Closest atoms and distances in Å follow each position.
Fractional coordinates of all 8 atoms:
1 Cd 0.0000 0.0000 0.0000  8 Cu 2.68, 2 Cd 2.77, 2 Fe 2.88
2 Cd 0.5000 0.5000 0.0000  8 Cu 2.68, 2 Cd 2.77, 2 Fe 2.88
3 Fe 0.0000 0.5000 0.0000  8 Cu 2.68, 2 Fe 2.77, 2 Cd 2.88
4 Fe 0.5000 0.0000 0.0000  8 Cu 2.68, 2 Fe 2.77, 2 Cd 2.88
5 Cu 0.2500 0.2500 0.5000  4 Cd 2.68, 4 Fe 2.68, 4 Cu 2.77-2.88
6 Cu 0.2500 0.7500 0.5000  4 Cd 2.68, 4 Fe 2.68, 4 Cu 2.77-2.88
7 Cu 0.7500 0.2500 0.5000  4 Cd 2.68, 4 Fe 2.68, 4 Cu 2.77-2.88
8 Cu 0.7500 0.7500 0.5000  4 Fe 2.68, 4 Cd 2.68, 4 Cu 2.77-2.88

Computed properties:
The value obtained for the formation energy is 0.27 eV per atom. Its space-group type is C2/m (12).

Entry 2:
Entry from Alexandria via LeMat-Bulk: crystalline Nd2ZnSb4 at its relaxed geometry (PBE).

Cell: 4.4104 4.4104 10.0500 Å, 90.00 90.00 90.00°
Closest atoms and distances in Å follow each position.
Fractional coordinates of all 7 atoms:
1 Nd 0.0000 0.5000 0.2500  8 Sb 3.26-3.34, 2 Zn 3.34
2 Nd 0.5000 0.0000 0.7500  8 Sb 3.26-3.34, 2 Zn 3.34
3 Zn 0.0000 0.0000 0.0000  4 Sb 2.70
4 Sb 0.0000 0.0000 0.5000  4 Sb 3.12, 4 Nd 3.34
5 Sb 0.0000 0.5000 0.8457  2 Zn 2.70
6 Sb 0.5000 0.0000 0.1543  2 Zn 2.70
7 Sb 0.5000 0.5000 0.5000  4 Sb 3.12, 4 Nd 3.34

Computed properties:
Its space-group type is P-4m2 (115). The formation energy (no corrections) comes out at -5.086 eV/f.u.

Entry 3:
Entry from Alexandria via LeMat-Bulk: crystalline Dy6BiSb3Se2 at its relaxed geometry (PBE).

Cell: 9.6090 9.6090 8.6071 Å, 102.75 102.75 25.96°
Closest atoms and distances in Å follow each position.
Fractional coordinates of all 12 atoms:
1 Dy 0.0048 0.0048 0.2576  1 Se 3.00, 3 Sb 3.02-3.08, 2 Bi 3.08
2 Dy 0.3295 0.3295 0.9095  3 Sb 3.02-3.09, 2 Se 3.03, 1 Bi 3.11
3 Dy 0.3310 0.3310 0.4207  3 Se 2.95-3.01, 3 Sb 3.07-3.08
4 Dy 0.6690 0.6690 0.5793  3 Se 2.95-3.01, 3 Sb 3.07-3.08
5 Dy 0.6705 0.6705 0.0905  3 Sb 3.02-3.09, 2 Se 3.03, 1 Bi 3.11
6 Dy 0.9952 0.9952 0.7424  1 Se 3.00, 3 Sb 3.02-3.08, 2 Bi 3.08
7 Bi 0.5000 0.5000 0.0000  6 Dy 3.08-3.11
8 Sb 0.1641 0.1641 0.8309  6 Dy 3.02-3.09
9 Sb 0.5000 0.5000 0.5000  6 Dy 3.02-3.08
10 Sb 0.8359 0.8359 0.1691  6 Dy 3.02-3.09
11 Se 0.1691 0.1691 0.3363  6 Dy 2.95-3.03
12 Se 0.8309 0.8309 0.6637  6 Dy 2.95-3.03

Computed properties:
Its space-group type is C2/m (12). The formation energy (no corrections) comes out at -15.464 eV/f.u.

Entry 4:
Entry from Alexandria via LeMat-Bulk: crystalline Ba2SiGe at its relaxed geometry (PBE).

Cell: 6.6175 4.2437 9.7480 Å, 90.00 106.31 90.00°
Closest atoms and distances in Å follow each position.
Fractional coordinates of all 8 atoms:
1 Ba 0.2053 0.2500 0.4288  3 Si 3.43-3.52, 4 Ge 3.45-3.66
2 Ba 0.2895 0.7500 0.0675  4 Si 3.43-3.69, 3 Ge 3.45-3.51
3 Ba 0.7105 0.2500 0.9325  4 Si 3.43-3.69, 3 Ge 3.45-3.51
4 Ba 0.7947 0.7500 0.5712  3 Si 3.43-3.52, 4 Ge 3.45-3.66
5 Si 0.1614 0.2500 0.7800  2 Ge 2.59
6 Si 0.8386 0.7500 0.2200  2 Ge 2.59
7 Ge 0.3435 0.7500 0.7190  2 Si 2.59
8 Ge 0.6565 0.2500 0.2810  2 Si 2.59

Computed properties:
Its space-group type is P2_1/m (11). The formation energy (no corrections) comes out at -2.011 eV/f.u.

Entry 5:
Entry from Alexandria via LeMat-Bulk: crystalline PmZnGaIr at its relaxed geometry (PBE).

Cell: 6.6052 6.6052 6.6052 Å, 90.00 90.00 90.00°
Closest atoms and distances in Å follow each position.
Fractional coordinates of all 16 atoms:
1 Pm 0.0000 0.0000 0.0000  4 Zn 2.86, 4 Ga 2.86
2 Pm 0.0000 0.5000 0.5000  4 Zn 2.86, 4 Ga 2.86
3 Pm 0.5000 0.0000 0.5000  4 Zn 2.86, 4 Ga 2.86
4 Pm 0.5000 0.5000 0.0000  4 Zn 2.86, 4 Ga 2.86
5 Zn 0.2500 0.2500 0.2500  4 Pm 2.86, 4 Ir 2.86
6 Zn 0.2500 0.7500 0.7500  4 Pm 2.86, 4 Ir 2.86
7 Zn 0.7500 0.2500 0.7500  4 Pm 2.86, 4 Ir 2.86
8 Zn 0.7500 0.7500 0.2500  4 Pm 2.86, 4 Ir 2.86
9 Ga 0.2500 0.2500 0.7500  4 Pm 2.86, 4 Ir 2.86
10 Ga 0.2500 0.7500 0.2500  4 Pm 2.86, 4 Ir 2.86
11 Ga 0.7500 0.2500 0.2500  4 Pm 2.86, 4 Ir 2.86
12 Ga 0.7500 0.7500 0.7500  4 Pm 2.86, 4 Ir 2.86
13 Ir 0.0000 0.0000 0.5000  4 Ga 2.86, 4 Zn 2.86
14 Ir 0.0000 0.5000 0.0000  4 Ga 2.86, 4 Zn 2.86
15 Ir 0.5000 0.0000 0.0000  4 Ga 2.86, 4 Zn 2.86
16 Ir 0.5000 0.5000 0.5000  4 Ga 2.86, 4 Zn 2.86

Computed properties:
The value obtained for the formation energy is -0.42 eV per atom. Its space-group type is F-43m (216).

Entry 6:
Entry from Alexandria via LeMat-Bulk: crystalline Sm12Ho6Al at its relaxed geometry (PBE).

Cell: 8.5230 8.5230 8.5230 Å, 88.71 88.71 88.71°
Closest atoms and distances in Å follow each position.
Fractional coordinates of all 19 atoms:
1 Sm 0.0373 0.2851 0.9342  3 Ho 3.35-3.53, 6 Sm 3.36-3.72
2 Sm 0.0658 0.9626 0.7149  3 Ho 3.35-3.53, 6 Sm 3.36-3.72
3 Sm 0.1385 0.3232 0.4831  4 Ho 3.43-3.74, 1 Al 3.47, 5 Sm 3.51-3.80
4 Sm 0.2851 0.9342 0.0374  3 Ho 3.35-3.53, 6 Sm 3.36-3.72
5 Sm 0.3232 0.4831 0.1385  4 Ho 3.43-3.74, 1 Al 3.47, 5 Sm 3.51-3.80
6 Sm 0.4831 0.1385 0.3232  4 Ho 3.43-3.74, 1 Al 3.47, 5 Sm 3.51-3.80
7 Sm 0.5169 0.8615 0.6768  4 Ho 3.43-3.74, 1 Al 3.47, 5 Sm 3.51-3.80
8 Sm 0.6768 0.5169 0.8615  4 Ho 3.43-3.74, 1 Al 3.47, 5 Sm 3.51-3.80
9 Sm 0.7149 0.0658 0.9627  3 Ho 3.35-3.53, 6 Sm 3.36-3.72
10 Sm 0.8615 0.6768 0.5169  4 Ho 3.43-3.74, 1 Al 3.47, 5 Sm 3.51-3.80
11 Sm 0.9342 0.0373 0.2851  3 Ho 3.35-3.53, 6 Sm 3.36-3.72
12 Sm 0.9626 0.7149 0.0658  3 Ho 3.35-3.53, 6 Sm 3.36-3.72
13 Ho 0.2182 0.5986 0.7559  1 Al 3.31, 6 Sm 3.35-3.53, 2 Ho 3.37
14 Ho 0.2441 0.7818 0.4014  1 Al 3.31, 6 Sm 3.35-3.53, 2 Ho 3.37
15 Ho 0.4014 0.2441 0.7818  1 Al 3.31, 6 Sm 3.35-3.53, 2 Ho 3.37
16 Ho 0.5986 0.7559 0.2182  1 Al 3.31, 6 Sm 3.35-3.53, 2 Ho 3.37
17 Ho 0.7559 0.2182 0.5986  1 Al 3.31, 6 Sm 3.35-3.53, 2 Ho 3.37
18 Ho 0.7818 0.4014 0.2441  1 Al 3.31, 6 Sm 3.35-3.53, 2 Ho 3.37
19 Al 0.5000 0.5000 0.5000  6 Ho 3.31, 6 Sm 3.47

Computed properties:
The value obtained for the formation energy is 0.09 eV per atom. Its space-group type is R-3 (148).

Entry 7:
Entry from Alexandria via LeMat-Bulk: crystalline CaTmSe2 at its relaxed geometry (PBE).

Cell: 4.0133 4.0133 21.3706 Å, 90.00 90.00 120.00°
Closest atoms and distances in Å follow each position.
Fractional coordinates of all 12 atoms:
1 Ca 0.0000 0.0000 0.0000  6 Se 2.92-3.06
2 Ca 0.3333 0.6667 0.6667  6 Se 2.92-3.06
3 Ca 0.6667 0.3333 0.3333  6 Se 2.92-3.06
4 Tm 0.0000 0.0000 0.1744  6 Se 2.83-2.89
5 Tm 0.3333 0.6667 0.8410  6 Se 2.83-2.89
6 Tm 0.6667 0.3333 0.5077  6 Se 2.83-2.89
7 Se 0.0000 0.0000 0.5834  3 Tm 2.83, 3 Ca 2.92
8 Se 0.0000 0.0000 0.7599  3 Tm 2.89, 3 Ca 3.06
9 Se 0.3333 0.6667 0.2501  3 Tm 2.83, 3 Ca 2.92
10 Se 0.3333 0.6667 0.4265  3 Tm 2.89, 3 Ca 3.06
11 Se 0.6667 0.3333 0.0932  3 Tm 2.89, 3 Ca 3.06
12 Se 0.6667 0.3333 0.9167  3 Tm 2.83, 3 Ca 2.92

Computed properties:
Its space-group type is R3m (160). The formation energy (no corrections) comes out at -7.056 eV/f.u.

Entry 8:
Entry from Alexandria via LeMat-Bulk: crystalline Sc2TaIn2 at its relaxed geometry (PBE).

Cell: 3.9336 3.9336 15.8301 Å, 90.00 90.00 90.00°
Closest atoms and distances in Å follow each position.
Fractional coordinates of all 10 atoms:
1 Sc 0.0000 0.0000 0.0902  1 Sc 2.85, 4 Ta 3.13
2 Sc 0.0000 0.0000 0.9098  1 Sc 2.85, 4 Ta 3.13
3 Sc 0.5000 0.5000 0.4098  1 Sc 2.85, 4 Ta 3.13
4 Sc 0.5000 0.5000 0.5902  1 Sc 2.85, 4 Ta 3.13
5 Ta 0.0000 0.0000 0.5000  8 Sc 3.13
6 Ta 0.5000 0.5000 0.0000  8 Sc 3.13
7 In 0.0000 0.5000 0.2500  4 In 2.78
8 In 0.0000 0.5000 0.7500  4 In 2.78
9 In 0.5000 0.0000 0.2500  4 In 2.78
10 In 0.5000 0.0000 0.7500  4 In 2.78

Computed properties:
The value obtained for the formation energy is 0.48 eV per atom. Its space-group type is I4/mmm (139).

Entry 9:
Entry from Alexandria via LeMat-Bulk: crystalline NaReSe2 at its relaxed geometry (PBE).

Cell: 6.3714 6.3714 10.9042 Å, 90.00 90.00 90.00°
Closest atoms and distances in Å follow each position.
Fractional coordinates of all 16 atoms:
1 Na 0.0000 0.0000 0.0000  4 Se 2.92
2 Na 0.0000 0.5000 0.2500  4 Se 2.92
3 Na 0.5000 0.0000 0.7500  4 Se 2.92
4 Na 0.5000 0.5000 0.5000  4 Se 2.92
5 Re 0.0000 0.0000 0.5000  4 Se 2.39
6 Re 0.0000 0.5000 0.7500  4 Se 2.39
7 Re 0.5000 0.0000 0.2500  4 Se 2.39
8 Re 0.5000 0.5000 0.0000  4 Se 2.39
9 Se 0.1804 0.2500 0.6250  2 Re 2.39
10 Se 0.2500 0.6804 0.8750  2 Re 2.39
11 Se 0.2500 0.8196 0.3750  2 Re 2.39
12 Se 0.3196 0.2500 0.1250  2 Re 2.39
13 Se 0.6804 0.7500 0.1250  2 Re 2.39
14 Se 0.7500 0.1804 0.3750  2 Re 2.39
15 Se 0.7500 0.3196 0.8750  2 Re 2.39
16 Se 0.8196 0.7500 0.6250  2 Re 2.39

Computed properties:
Its space-group type is I-42d (122). The formation energy (no corrections) comes out at -0.441 eV/f.u.

Entry 10:
Entry from Alexandria via LeMat-Bulk: crystalline IClO at its relaxed geometry (PBE).

Cell: 3.7582 5.2093 9.8709 Å, 89.23 89.41 89.87°
Closest atoms and distances in Å follow each position.
Fractional coordinates of all 6 atoms:
1 I 0.0000 0.0000 0.0000  2 Cl 2.64
2 I 0.2098 0.0331 0.4972  2 O 1.80
3 Cl 0.0019 0.5011 0.9578  2 I 2.64
4 Cl 0.0292 0.5325 0.4954  2 I 2.69-2.70
5 O 0.5067 0.0291 0.6392  1 I 1.80
6 O 0.5138 0.0362 0.3549  1 I 1.80

Computed properties:
Its space-group type is P1 (1). The formation energy (no corrections) comes out at -0.201 eV/f.u.

Entry 11:
Entry from Alexandria via LeMat-Bulk: crystalline HfMnAs3 at its relaxed geometry (PBE).

Cell: 5.0888 5.0888 5.0888 Å, 90.00 90.00 90.00°
Closest atoms and distances in Å follow each position.
Fractional coordinates of all 5 atoms:
1 Hf 0.0000 0.0000 0.0000  6 As 2.54
2 Mn 0.5000 0.5000 0.5000  12 As 3.60
3 As 0.0000 0.0000 0.5000  2 Hf 2.54
4 As 0.0000 0.5000 0.0000  2 Hf 2.54
5 As 0.5000 0.0000 0.0000  2 Hf 2.54

Computed properties:
The value obtained for the formation energy is 1.03 eV per atom. Its space-group type is Pm-3m (221).

Entry 12:
Entry from Alexandria via LeMat-Bulk: crystalline PuB2Ir3 at its relaxed geometry (PBE).

Cell: 3.5456 9.0831 9.0831 Å, 59.89 90.00 90.00°
Closest atoms and distances in Å follow each position.
Fractional coordinates of all 18 atoms:
1 Pu 0.0000 0.0000 0.0000  4 Ir 2.85-3.17, 6 B 2.96-3.01
2 Pu 0.0000 0.3303 0.3303  6 B 2.88-2.89, 6 Ir 2.90-3.10
3 Pu 0.5000 0.6663 0.6663  6 B 2.81-3.02, 8 Ir 3.09-3.15
4 B 0.5000 0.0412 0.4918  5 Ir 2.24-2.29
5 B 0.5000 0.3010 0.8585  5 Ir 2.23-2.34
6 B 0.5000 0.4747 0.4747  6 Ir 2.20-2.40
7 B 0.5000 0.4918 0.0412  5 Ir 2.24-2.29
8 B 0.5000 0.8451 0.8451  4 Ir 2.22
9 B 0.5000 0.8585 0.3010  5 Ir 2.23-2.34
10 Ir 0.0000 0.3815 0.6797  4 B 2.26-2.40
11 Ir 0.0000 0.3903 0.9632  4 B 2.27-2.34
12 Ir 0.0000 0.6772 0.9532  4 B 2.22-2.29
13 Ir 0.0000 0.6797 0.3815  4 B 2.26-2.40
14 Ir 0.0000 0.9532 0.6772  4 B 2.22-2.29
15 Ir 0.0000 0.9632 0.3903  4 B 2.27-2.34
16 Ir 0.5000 0.1414 0.1414  2 B 2.23
17 Ir 0.5000 0.1945 0.6225  2 B 2.20-2.24
18 Ir 0.5000 0.6225 0.1945  2 B 2.20-2.24

Computed properties:
The value obtained for the formation energy is -0.24 eV per atom. Its space-group type is Amm2 (38).

| no. | M_tot (μB per cell) |
| --- | --- |
| 1 | 5.6 |
| 2 | 0.0 |
| 3 | 0.0 |
| 4 | 0.0 |
| 5 | 0.0 |
| 6 | 0.0 |
| 7 | 0.0 |
| 8 | 1.9 |
| 9 | 0.0 |
| 10 | 0.0 |
| 11 | 0.7 |
| 12 | 14.5 |